An optimized crystal structure of LiMg2Ir. Source: Alexandria via LeMat-Bulk, functional GGA-PBE.

Summary:
* formation energy: -104.8 kJ/mol of formula units
* crystal system: orthorhombic
* spin magnetization: 0.0000 μB/atom
* space group: Pmm2
* raw total energy: -15.05 eV/cell

```
data_LiMg2Ir
_cell_length_a 4.5198
_cell_length_b 3.1545
_cell_length_c 4.5198
_cell_angle_alpha 89.99
_cell_angle_beta 90.00
_cell_angle_gamma 90.00
_space_group_name_H-M_alt 'P 1'
_space_group_IT_number 1
_space_group_name_Hall 'P 1'
loop_
_atom_site_label
_atom_site_type_symbol
_atom_site_fract_x
_atom_site_fract_y
_atom_site_fract_z
Li1 Li 0.5000 0.6259 0.8775
Ir1 Ir 0.0000 0.6247 0.3736
Mg1 Mg 0.5000 0.1246 0.3756
Mg2 Mg 0.0000 0.1249 0.8733
```